# 1
Here is YCuNiBi after structural relaxation from the Open Quantum Materials Database. Energies are from GGA-PBE.

a = 6.876 Å, b = 6.876 Å, c = 6.876 Å
α = 90.00°, β = 90.00°, γ = 90.00°
Space group F-43m (No. 216)
Asymmetric unit:
Y 0.000 0.000 0.000 (multiplicity 4)
Cu 0.000 0.000 0.500 (multiplicity 4)
Ni 0.250 0.250 0.750 (multiplicity 4)
Bi 0.250 0.250 0.250 (multiplicity 4)

Values from the calculation:
The total energy comes out at -79.19 eV for the cell shown. The value obtained for the energy above the most stable polymorph in this dataset is 247 meV/atom. The calculation puts the size of the total moment at 0.001 μB per atom.



# 2
Here is ErPSeS3 after structural relaxation from the Open Quantum Materials Database. Energies are from GGA-PBE.

a = 6.482 Å, b = 6.600 Å, c = 7.752 Å
α = 87.92°, β = 87.23°, γ = 82.00°
Space group P-1 (No. 2)
Asymmetric unit:
Er 0.205 0.206 0.054 (multiplicity 2)
P 0.305 0.758 0.820 (multiplicity 2)
Se 0.418 0.267 0.353 (multiplicity 2)
S 0.087 0.012 0.767 (multiplicity 2)
S 0.125 0.523 0.799 (multiplicity 2)
S 0.386 0.781 0.073 (multiplicity 2)

Values from the calculation:
The total energy comes out at -63.45 eV for the cell shown. The calculation puts the size of the total moment at 0.000 μB per atom.



# 3
Here is RbLiAsAu after structural relaxation from the Open Quantum Materials Database. Energies are from GGA-PBE.

a = 7.429 Å, b = 7.429 Å, c = 7.429 Å
α = 90.00°, β = 90.00°, γ = 90.00°
Space group F-43m (No. 216)
Asymmetric unit:
Rb 0.000 0.000 0.000 (multiplicity 4)
Li 0.000 0.000 0.500 (multiplicity 4)
As 0.250 0.250 0.250 (multiplicity 4)
Au 0.250 0.250 0.750 (multiplicity 4)

Values from the calculation:
The total energy comes out at -41.17 eV for the cell shown. The value obtained for the energy above the most stable polymorph in this dataset is 194 meV/atom.



# 4
Here is Zn4Pd3 after structural relaxation from the Open Quantum Materials Database. Energies are from GGA-PBE.

a = 7.2109 Å, b = 7.2109 Å, c = 4.5732 Å
α = 90.00°, β = 90.00°, γ = 120.00°
Space group P6_3/m (No. 176)
Asymmetric unit:
Zn 0.0901 0.4613 0.2500 (multiplicity 6)
Zn 0.3333 0.6667 0.7500 (multiplicity 2)
Pd 0.0466 0.2569 0.7500 (multiplicity 6)

Values from the calculation:
The total energy comes out at -46.21 eV for the cell shown. The value obtained for the energy above the most stable polymorph in this dataset is 74 meV/atom.



# 5
Here is Y4Ta2Al3C3 after structural relaxation from the Open Quantum Materials Database. Energies are from GGA-PBE.

a = 10.346 Å, b = 6.006 Å, c = 14.819 Å
α = 90.00°, β = 104.18°, γ = 90.00°
Space group C2/c (No. 15)
Asymmetric unit:
Y 0.118 0.073 0.101 (multiplicity 8)
Y 0.210 0.090 0.399 (multiplicity 8)
Ta 0.064 0.411 0.927 (multiplicity 8)
Al 0.000 0.164 0.750 (multiplicity 4)
Al 0.127 0.456 0.247 (multiplicity 8)
C 0.074 0.279 0.500 (multiplicity 8)
C 0.250 0.250 0.000 (multiplicity 4)

Values from the calculation:
The total energy comes out at -375.56 eV for the cell shown. The calculation puts the size of the total moment at 0.000 μB per atom.



# 6
Here is CoCuSiNi after structural relaxation from the Open Quantum Materials Database. Energies are from GGA-PBE.

a = 5.598 Å, b = 5.598 Å, c = 5.598 Å
α = 90.00°, β = 90.00°, γ = 90.00°
Space group F-43m (No. 216)
Asymmetric unit:
Co 0.000 0.000 0.000 (multiplicity 4)
Cu 0.000 0.000 0.500 (multiplicity 4)
Si 0.250 0.250 0.750 (multiplicity 4)
Ni 0.250 0.250 0.250 (multiplicity 4)

Values from the calculation:
The total energy comes out at -89.94 eV for the cell shown. The value obtained for the energy above the most stable polymorph in this dataset is 125 meV/atom. The calculation puts the size of the total moment at 0.107 μB per atom.



# 7
Here is TbEr2Cd3NiAu2 after structural relaxation from the Open Quantum Materials Database. Energies are from GGA-PBE.

a = 3.898 Å, b = 13.157 Å, c = 7.574 Å
α = 90.00°, β = 90.00°, γ = 90.00°
Space group Amm2 (No. 38)
Asymmetric unit:
Tb 0.000 0.000 0.000 (multiplicity 2)
Er 0.000 0.200 0.602 (multiplicity 4)
Cd 0.500 0.000 0.644 (multiplicity 2)
Cd 0.500 0.121 0.281 (multiplicity 4)
Ni 0.000 0.000 0.403 (multiplicity 2)
Au 0.500 0.168 0.901 (multiplicity 4)

Values from the calculation:
The total energy comes out at -67.53 eV for the cell shown. The calculation puts the size of the total moment at 0.001 μB per atom.



# 8
Here is DyI3O9 after structural relaxation from the Open Quantum Materials Database. Energies are from GGA-PBE.

a = 8.634 Å, b = 5.829 Å, c = 16.200 Å
α = 90.00°, β = 114.93°, γ = 90.00°
Space group P2_1/c (No. 14)
Asymmetric unit:
Dy 0.141 0.226 0.101 (multiplicity 4)
I 0.076 0.186 0.350 (multiplicity 4)
I 0.361 0.652 0.524 (multiplicity 4)
I 0.418 0.598 0.798 (multiplicity 4)
O 0.061 0.065 0.701 (multiplicity 4)
O 0.101 0.605 0.674 (multiplicity 4)
O 0.104 0.096 0.464 (multiplicity 4)
O 0.129 0.605 0.490 (multiplicity 4)
O 0.340 0.592 0.888 (multiplicity 4)
O 0.344 0.193 0.258 (multiplicity 4)
O 0.356 0.083 0.943 (multiplicity 4)
O 0.360 0.503 0.134 (multiplicity 4)
O 0.401 0.033 0.124 (multiplicity 4)

Values from the calculation:
The total energy comes out at -266.38 eV for the cell shown. The value obtained for the energy above the most stable polymorph in this dataset is 0 meV/atom. The calculation puts the size of the total moment at 0.000 μB per atom.



# 9
Here is HfGaFe after structural relaxation from the Open Quantum Materials Database. Energies are from GGA-PBE.

a = 6.100 Å, b = 6.100 Å, c = 6.100 Å
α = 90.00°, β = 90.00°, γ = 90.00°
Space group F-43m (No. 216)
Asymmetric unit:
Hf 0.000 0.000 0.000 (multiplicity 4)
Ga 0.250 0.250 0.250 (multiplicity 4)
Fe 0.250 0.250 0.750 (multiplicity 4)

Values from the calculation:
The total energy comes out at -78.23 eV for the cell shown. The calculation puts the size of the total moment at 0.355 μB per atom.



# 10
Here is Cu14C after structural relaxation from the Open Quantum Materials Database. Energies are from GGA-PBE.

a = 7.2546 Å, b = 7.2546 Å, c = 12.4983 Å
α = 90.00°, β = 90.00°, γ = 120.00°
Space group R-3m (No. 166, hexagonal axes)
Asymmetric unit:
Cu 0.0000 0.0000 0.1496 (multiplicity 6)
Cu 0.0000 0.3240 0.5000 (multiplicity 18)
Cu 0.0992 0.5496 0.3360 (multiplicity 18)
C 0.0000 0.0000 0.0000 (multiplicity 3)

Values from the calculation:
The total energy comes out at -162.96 eV for the cell shown.



# 11
Here is Zr2ScAu after structural relaxation from the Open Quantum Materials Database. Energies are from GGA-PBE.

a = 6.917 Å, b = 6.917 Å, c = 6.917 Å
α = 90.00°, β = 90.00°, γ = 90.00°
Space group F-43m (No. 216)
Asymmetric unit:
Zr 0.000 0.000 0.000 (multiplicity 4)
Zr 0.250 0.250 0.250 (multiplicity 4)
Sc 0.000 0.000 0.500 (multiplicity 4)
Au 0.250 0.250 0.750 (multiplicity 4)

Values from the calculation:
The total energy comes out at -109.07 eV for the cell shown. The calculation puts the size of the total moment at 0.482 μB per atom.



# 12
Here is CdPd2SO6 after structural relaxation from the Open Quantum Materials Database. Energies are from GGA-PBE.

a = 6.516 Å, b = 6.774 Å, c = 6.862 Å
α = 64.36°, β = 79.43°, γ = 69.17°
Space group P-1 (No. 2)
Asymmetric unit:
Cd 0.234 0.339 0.135 (multiplicity 2)
Pd 0.193 0.871 0.622 (multiplicity 2)
Pd 0.203 0.343 0.651 (multiplicity 2)
S 0.288 0.804 0.163 (multiplicity 2)
O 0.137 0.566 0.788 (multiplicity 2)
O 0.145 0.044 0.106 (multiplicity 2)
O 0.149 0.645 0.251 (multiplicity 2)
O 0.275 0.150 0.491 (multiplicity 2)
O 0.410 0.773 0.967 (multiplicity 2)
O 0.440 0.738 0.336 (multiplicity 2)

Values from the calculation:
The total energy comes out at -105.24 eV for the cell shown.



Number 6 is which compound? CoCuSiNi